The following is a DFT calculation (PBE with a Hubbard U) of crystalline VPdO2 at its relaxed geometry.

Summary:
- energy (eV for the cell shown) = -28.04
- calculated volume (Å³/f.u.) = 49
- offset from the most stable computed form (eV/f.u.) = 0.00
- space group = No. 166

a b c (Å): 6.3605 6.3605 6.3605
angles (deg): 27.66 27.66 27.66
Closest atoms and distances in Å follow each position.
Positions (direct):
O1 0.1109 0.1109 0.1109  3 V 2.03, 1 Pd 2.03
O2 0.8891 0.8891 0.8891  3 V 2.03, 1 Pd 2.03
Pd1 0.0000 0.0000 0.0000  2 O 2.03
V1 0.5000 0.5000 0.5000  6 O 2.03